Entry from Alexandria: a relaxed TmZr2Pa crystal (PBE).

Cell: 7.3547 7.3547 7.3547 Å, 90.00 90.00 90.00°
With the nearest neighbours (Å) after each atom.
Space group Fm-3m (No. 225)
One atom of each set of equivalent atoms:
Tm: 0.0000 0.0000 0.0000 x4  8 Zr 3.18
Zr: 0.2500 0.2500 0.2500 x8  4 Pa 3.18, 4 Tm 3.18
Pa: 0.0000 0.0000 0.5000 x4  8 Zr 3.18

Results
Raw total energy (eV per formula unit): -30.213
Calculated density (g/cm³): 9.7
Total moment (μB/cell): 0.03
Formation enthalpy at 0 K (eV per atom): 0.213
Energy relative to the lowest polymorph listed for this composition (meV/atom): 132